Record 1
DFT (PBE) results for a relaxed ThZnFe crystal.

a b c (Å): 3.8370 4.1536 7.6888
angles (deg): 90.00 90.00 90.00
With the nearest neighbours (Å) after each atom.
Atoms (fractional coordinates):
Zn 0.8116 0.7162 0.4886  2 Zn 2.51, 1 Fe 2.55
Zn 0.8116 0.2162 0.3043  2 Zn 2.51, 1 Fe 2.55
Fe 0.8116 0.7162 0.8199  2 Fe 2.39, 1 Zn 2.55
Fe 0.8116 0.2162 0.9729  2 Fe 2.39, 1 Zn 2.55
Th 0.3116 0.7162 0.1078  6 Fe 2.93-3.01, 4 Zn 3.21
Th 0.3116 0.2162 0.6851  6 Fe 2.93-3.01, 4 Zn 3.21

Crystal system: orthorhombic
Symmetry: Pmma
ΔE_f: -142 meV/atom

Record 2
DFT (PBE) results for a relaxed Th2ZnFe crystal.

a b c (Å): 3.9249 3.9249 9.5607
angles (deg): 78.16 78.16 60.00
With the nearest neighbours (Å) after each atom.
Atoms (fractional coordinates):
Th 0.1152 0.1152 0.6543  3 Fe 2.68
Th 0.8848 0.8848 0.3457  3 Fe 2.68
Zn 0.0000 0.0000 0.0000  2 Th 3.21
Fe 0.5000 0.5000 0.5000  6 Th 2.68

Crystal system: trigonal
Energy above the lowest structure with this stoichiometry: 385 meV per atom
Symmetry: R-3m
ΔE_f: 253 meV/atom

Record 3
DFT (PBE) results for a relaxed ThZnFe crystal.

a b c (Å): 3.7413 3.7019 8.5528
angles (deg): 102.50 90.00 90.00
With the nearest neighbours (Å) after each atom.
Atoms (fractional coordinates):
Th 0.7500 0.0935 0.1870  4 Fe 2.70
Th 0.2500 0.9065 0.8130  4 Fe 2.70
Fe 0.2500 0.5586 0.1173  1 Zn 2.56, 4 Th 2.70, 2 Fe 2.71
Fe 0.7500 0.4414 0.8827  1 Zn 2.56, 4 Th 2.70, 2 Fe 2.71
Zn 0.7500 0.2881 0.5761  1 Fe 2.56
Zn 0.2500 0.7119 0.4239  1 Fe 2.56

Crystal system: orthorhombic
Symmetry: Cmcm
ΔE_f: -125 meV/atom

Record 4
DFT (PBE) results for a relaxed Th2ZnFe2 crystal.

a b c (Å): 5.4531 5.5518 7.8911
angles (deg): 107.31 90.00 119.41
With the nearest neighbours (Å) after each atom.
Atoms (fractional coordinates):
Zn 0.8673 0.0000 0.2500  4 Fe 2.54-2.71
Zn 0.1327 0.0000 0.7500  4 Fe 2.54-2.71
Fe 0.0211 0.7169 0.9671  1 Fe 2.51, 2 Zn 2.54-2.71, 1 Th 2.63
Fe 0.6958 0.7169 0.4671  1 Fe 2.51, 2 Zn 2.54-2.71, 1 Th 2.63
Fe 0.3042 0.2831 0.5329  1 Fe 2.51, 2 Zn 2.54-2.71, 1 Th 2.63
Fe 0.9789 0.2831 0.0329  1 Fe 2.51, 2 Zn 2.54-2.71, 1 Th 2.63
Th 0.8025 0.2926 0.6520  4 Fe 2.63-2.91
Th 0.4901 0.2926 0.1520  4 Fe 2.63-2.91
Th 0.5099 0.7074 0.8480  4 Fe 2.63-2.91
Th 0.1975 0.7074 0.3480  4 Fe 2.63-2.91

Crystal system: monoclinic
Symmetry: C2/c
ΔE_f: -111 meV/atom

Record 5
DFT (PBE) results for a relaxed Th2ZnFe2 crystal.

a b c (Å): 3.9441 3.8707 7.1121
angles (deg): 105.79 90.00 90.00
With the nearest neighbours (Å) after each atom.
Atoms (fractional coordinates):
Fe 0.0000 0.2026 0.4052  2 Fe 2.33
Fe 0.0000 0.7974 0.5948  2 Fe 2.33
Th 0.5000 0.6317 0.2635  6 Fe 2.93-3.01
Th 0.5000 0.3683 0.7365  6 Fe 2.93-3.01
Zn 0.0000 0.0000 0.0000  2 Fe 2.77

Crystal system: orthorhombic
Symmetry: Cmmm
ΔE_f: -115 meV/atom

Record 6
DFT (PBE) results for a relaxed ThZnFe crystal.

a b c (Å): 3.7721 4.3128 4.3128
angles (deg): 120.00 90.00 90.00
With the nearest neighbours (Å) after each atom.
Atoms (fractional coordinates):
Zn 0.1664 0.6667 0.3333  3 Fe 2.49
Th 0.6667 0.3333 0.6667  6 Zn 3.12, 6 Fe 3.12
Fe 0.1669 0.0000 0.0000  3 Zn 2.49

Crystal system: hexagonal
Symmetry: P-6m2
ΔE_f: 1 meV/atom

Record 7
DFT (PBE) results for a relaxed ThZn4Fe crystal.

a b c (Å): 5.2190 5.2190 5.2190
angles (deg): 60.00 60.00 60.00
With the nearest neighbours (Å) after each atom.
Atoms (fractional coordinates):
Zn 0.1194 0.6269 0.6269  6 Zn 2.57-2.65
Zn 0.6269 0.1194 0.6269  6 Zn 2.57-2.65
Zn 0.6269 0.6269 0.6269  6 Zn 2.57-2.65
Zn 0.6269 0.6269 0.1194  6 Zn 2.57-2.65
Fe 0.0000 0.0000 0.0000  12 Zn 3.06, 4 Th 3.20
Th 0.2500 0.2500 0.2500  12 Zn 3.06, 4 Fe 3.20

Crystal system: cubic
Symmetry: F-43m
ΔE_f: -2 meV/atom

Record 8
DFT (PBE) results for a relaxed Th4ZnFe crystal.

a b c (Å): 6.6997 6.6997 5.9589
angles (deg): 124.21 124.21 90.00
With the nearest neighbours (Å) after each atom.
Atoms (fractional coordinates):
Th 0.9093 0.3870 0.2041  1 Fe 2.62
Th 0.1829 0.0907 0.7959  1 Fe 2.62
Th 0.6130 0.7052 0.7959  1 Fe 2.62
Th 0.2948 0.8171 0.2041  1 Fe 2.62
Zn 0.7500 0.2500 0.5000  8 Th 3.00-3.20
Fe 0.5000 0.5000 0.0000  4 Th 2.62

Crystal system: tetragonal
Energy above the lowest structure with this stoichiometry: 212 meV per atom
Symmetry: I-4
ΔE_f: 117 meV/atom

Record 9
DFT (PBE) results for a relaxed ThZn9Fe3 crystal.

a b c (Å): 5.0279 6.8502 6.7146
angles (deg): 81.79 68.01 67.58
With the nearest neighbours (Å) after each atom.
Atoms (fractional coordinates):
Th 0.0000 0.0000 0.0000  14 Zn 3.09-3.43, 6 Fe 3.36-3.39
Fe 0.0000 0.0000 0.5000  2 Fe 2.51, 8 Zn 2.53-2.70
Fe 0.5000 0.5000 0.0000  10 Zn 2.51-2.67
Fe 0.5000 0.0000 0.5000  2 Fe 2.51, 8 Zn 2.53-2.70
Zn 0.3672 0.6576 0.6476  3 Fe 2.64-2.70, 6 Zn 2.64-2.84
Zn 0.7278 0.7732 0.7701  3 Fe 2.53-2.59, 4 Zn 2.56-2.81
Zn 0.6328 0.3424 0.3524  3 Fe 2.64-2.70, 6 Zn 2.64-2.84
Zn 0.9852 0.3424 0.6476  3 Fe 2.64-2.70, 6 Zn 2.64-2.84
Zn 0.0148 0.6576 0.3524  3 Fe 2.64-2.70, 6 Zn 2.64-2.84
Zn 0.5021 0.2268 0.7701  3 Fe 2.53-2.59, 4 Zn 2.56-2.81
Zn 0.2722 0.2268 0.2299  3 Fe 2.53-2.59, 4 Zn 2.56-2.81
Zn 0.0000 0.5000 0.0000  2 Fe 2.51, 8 Zn 2.56-2.77
Zn 0.4979 0.7732 0.2299  3 Fe 2.53-2.59, 4 Zn 2.56-2.81

Crystal system: monoclinic
Symmetry: C2/m
ΔE_f: -79 meV/atom

Record 10
DFT (PBE) results for a relaxed Th2ZnFe crystal.

a b c (Å): 3.5371 3.5371 7.3444
angles (deg): 90.00 90.00 90.00
With the nearest neighbours (Å) after each atom.
Atoms (fractional coordinates):
Fe 0.5000 0.5000 0.0000  8 Th 3.01
Zn 0.5000 0.5000 0.5000  8 Th 3.20, 4 Zn 3.54
Th 0.0000 0.0000 0.7714  4 Fe 3.01, 4 Zn 3.20, 1 Th 3.36
Th 0.0000 0.0000 0.2286  4 Fe 3.01, 4 Zn 3.20, 1 Th 3.36

Crystal system: tetragonal
Energy above the lowest structure with this stoichiometry: 102 meV per atom
Symmetry: P4/mmm
ΔE_f: -30 meV/atom

Record 11
DFT (PBE) results for a relaxed Th8ZnFe2 crystal.

a b c (Å): 5.7694 7.8696 7.8696
angles (deg): 117.06 98.08 98.08
With the nearest neighbours (Å) after each atom.
Atoms (fractional coordinates):
Th 0.5667 0.3483 0.0979  2 Fe 2.69-2.77
Th 0.9926 0.7611 0.2345  2 Fe 2.94, 1 Zn 3.21
Th 0.8135 0.6217 0.6217  1 Zn 3.09, 3 Th 3.19-3.39
Th 0.9926 0.2345 0.7611  2 Fe 2.94, 1 Zn 3.21
Th 0.4143 0.9072 0.6599  2 Fe 2.71-2.80
Th 0.1802 0.3917 0.3917  1 Zn 3.07, 3 Th 3.19-3.37
Th 0.5667 0.0979 0.3483  2 Fe 2.69-2.77
Th 0.4143 0.6599 0.9072  2 Fe 2.71-2.80
Fe 0.4951 0.7254 0.2819  6 Th 2.69-2.94
Fe 0.4951 0.2819 0.7254  6 Th 2.69-2.94
Zn 0.0684 0.0042 0.0042  6 Th 3.07-3.40

Crystal system: monoclinic
Symmetry: Cm
ΔE_f: 70 meV/atom

Record 12
DFT (PBE) results for a relaxed Th3ZnFe crystal.

a b c (Å): 5.1832 5.1832 5.1832
angles (deg): 90.00 90.00 90.00
With the nearest neighbours (Å) after each atom.
Atoms (fractional coordinates):
Th 0.0000 0.0000 0.5000  2 Fe 2.59
Th 0.5000 0.0000 0.0000  2 Fe 2.59
Th 0.0000 0.5000 0.0000  2 Fe 2.59
Fe 0.0000 0.0000 0.0000  6 Th 2.59
Zn 0.5000 0.5000 0.5000  12 Th 3.67

Crystal system: cubic
Energy above the lowest structure with this stoichiometry: 45 meV per atom
Symmetry: Pm-3m
ΔE_f: 26 meV/atom

Q: Which of these has the highest ΔE_f?
A: number 2